Model w:
Compound: Sc2TcBr
Source: the Alexandria database
Functional: PBE
Structure: optimized geometry

Results
- ρ (g cm⁻³) = 4.8
- magnetic moment (μB/f.u.) = 0.0

Structure (POSCAR):
```
Sc2TcBr
1.0
-3.4615 3.4615 3.8373
3.4615 -3.4615 3.8373
3.4615 3.4615 -3.8373
Sc Tc Br
4 2 2
Cartesian
5.1922 1.5182 -0.9593
1.5182 1.7307 0.9593
-1.7307 1.9433 2.8780
1.9433 1.7307 4.7967
0.0000 0.0000 0.0000
0.0000 3.4615 1.9187
3.4615 0.0000 1.9187
0.0000 0.0000 3.8373
```


Model x:
Compound: Sc2TcBr
Source: the Alexandria database
Functional: PBE
Structure: optimized geometry

Results
- ρ (g cm⁻³) = 5.4
- magnetic moment (μB/f.u.) = 0.0

Structure (POSCAR):
```
Sc2TcBr
1.0
3.3086 0.0000 0.0000
0.0000 3.3086 0.0000
0.0000 0.0000 7.5133
Sc Tc Br
2 1 1
Cartesian
0.0000 0.0000 1.5095
0.0000 0.0000 6.0038
1.6543 1.6543 0.0000
1.6543 1.6543 3.7567
```


Model y:
Compound: Sc2TcBr
Source: the Alexandria database
Functional: PBE
Structure: optimized geometry

Results
- ρ (g cm⁻³) = 5.8
- magnetic moment (μB/f.u.) = 0.0

Structure (POSCAR):
```
Sc2TcBr
1.0
0.0000 3.3712 3.3712
3.3712 0.0000 3.3712
3.3712 3.3712 0.0000
Sc Tc Br
2 1 1
Cartesian
1.6856 1.6856 1.6856
5.0567 5.0567 5.0567
0.0000 0.0000 0.0000
3.3712 3.3712 3.3712
```


model x wins, 0.594 eV/atom ahead of the next structure.


Model w:
Compound: Sc2TcBr
Source: the Alexandria database
Functional: PBE
Structure: optimized geometry

Results
- ρ (g cm⁻³) = 4.8
- magnetic moment (μB/f.u.) = 0.0

Structure (POSCAR):
```
Sc2TcBr
1.0
1.7381 1.0035 8.8576
-1.7381 1.0035 8.8576
0.0000 -2.0070 8.8576
Sc Tc Br
2 1 1
Cartesian
0.0000 0.0000 2.6453
0.0000 0.0000 23.9274
0.0000 0.0000 13.2864
0.0000 0.0000 0.0000
```


Model x:
Compound: Sc2TcBr
Source: the Alexandria database
Functional: PBE
Structure: optimized geometry

Results
- ρ (g cm⁻³) = 4.9
- magnetic moment (μB/f.u.) = 3.1

Structure (POSCAR):
```
Sc2TcBr
1.0
3.2916 0.0000 0.0000
0.0000 3.2916 0.0000
0.0000 0.0000 8.3537
Sc Tc Br
2 1 1
Cartesian
0.0000 0.0000 0.0000
1.6458 1.6458 2.3300
0.0000 0.0000 3.7795
1.6458 1.6458 6.6960
```


model w wins, 0.430 eV/atom ahead of the next structure.


Model w:
Compound: ScTcBr3
Source: the Alexandria database
Functional: PBE
Structure: optimized geometry

Results
- ρ (g cm⁻³) = 5.0
- magnetic moment (μB/f.u.) = 0.0

Structure (POSCAR):
```
ScTcBr3
1.0
5.0388 0.0000 0.0000
0.0000 5.0388 0.0000
0.0000 0.0000 5.0388
Sc Tc Br
1 1 3
Cartesian
0.0000 0.0000 0.0000
2.5194 2.5194 2.5194
0.0000 2.5194 2.5194
2.5194 0.0000 2.5194
2.5194 2.5194 0.0000
```


Model x:
Compound: ScTcBr3
Source: the Alexandria database
Functional: PBE
Structure: optimized geometry

Results
- ρ (g cm⁻³) = 4.1
- magnetic moment (μB/f.u.) = 5.0

Structure (POSCAR):
```
ScTcBr3
1.0
5.3538 0.0000 0.0000
0.0000 5.3538 0.0000
0.0000 0.0000 5.3538
Sc Tc Br
1 1 3
Cartesian
0.0000 0.0000 0.0000
2.6769 2.6769 2.6769
0.0000 0.0000 2.6769
0.0000 2.6769 0.0000
2.6769 0.0000 0.0000
```


model x wins, 0.291 eV/atom ahead of the next structure.


Model w:
Compound: ScTc3Br
Source: the Alexandria database
Functional: PBE
Structure: optimized geometry

Results
- ρ (g cm⁻³) = 6.3
- magnetic moment (μB/f.u.) = 5.0

Structure (POSCAR):
```
ScTc3Br
1.0
4.7851 0.0000 0.0000
0.0000 4.7851 0.0000
0.0000 0.0000 4.7851
Sc Tc Br
1 3 1
Cartesian
0.0000 0.0000 0.0000
0.0000 0.0000 2.3925
0.0000 2.3925 0.0000
2.3925 0.0000 0.0000
2.3925 2.3925 2.3925
```


Model x:
Compound: ScTc3Br
Source: the Alexandria database
Functional: PBE
Structure: optimized geometry

Results
- ρ (g cm⁻³) = 7.4
- magnetic moment (μB/f.u.) = 0.0

Structure (POSCAR):
```
ScTc3Br
1.0
4.5547 0.0000 0.0000
0.0000 4.5547 0.0000
0.0000 0.0000 4.5547
Sc Tc Br
1 3 1
Cartesian
0.0000 0.0000 0.0000
0.0000 2.2773 2.2773
2.2773 0.0000 2.2773
2.2773 2.2773 0.0000
2.2773 2.2773 2.2773
```


model x wins, 0.988 eV/atom ahead of the next structure.


Model w:
Compound: ScTe2Br
Source: the Alexandria database
Functional: PBE
Structure: optimized geometry

Results
- ρ (g cm⁻³) = 5.1
- magnetic moment (μB/f.u.) = 0.0

Structure (POSCAR):
```
ScTe2Br
1.0
1.6491 0.9521 13.0250
-1.6491 0.9521 13.0250
0.0000 -1.9042 13.0250
Sc Te Br
1 2 1
Cartesian
0.0000 0.0000 0.0000
0.0000 0.0000 2.8847
0.0000 0.0000 36.1902
0.0000 0.0000 19.5375
```


Model x:
Compound: ScTe2Br
Source: the Alexandria database
Functional: PBE
Structure: optimized geometry

Results
- ρ (g cm⁻³) = 6.1
- magnetic moment (μB/f.u.) = 0.0

Structure (POSCAR):
```
ScTe2Br
1.0
-2.6386 2.6386 3.7127
2.6386 -2.6386 3.7127
2.6386 2.6386 -3.7127
Sc Te Br
1 2 1
Cartesian
0.0000 0.0000 0.0000
0.0000 0.0000 3.7127
0.0000 2.6386 1.8564
2.6386 0.0000 1.8564
```


Model y:
Compound: ScTe2Br
Source: the Alexandria database
Functional: PBE
Structure: optimized geometry

Results
- ρ (g cm⁻³) = 5.2
- magnetic moment (μB/f.u.) = 0.0

Structure (POSCAR):
```
ScTe2Br
1.0
3.2923 0.0000 0.0000
0.0000 3.2923 0.0000
0.0000 0.0000 11.2257
Sc Te Br
1 2 1
Cartesian
0.0000 0.0000 0.0000
0.0000 0.0000 5.8009
1.6461 1.6461 2.0052
1.6461 1.6461 9.5793
```


Model z:
Compound: ScTe2Br
Source: the Alexandria database
Functional: PBE
Structure: optimized geometry

Results
- ρ (g cm⁻³) = 5.9
- magnetic moment (μB/f.u.) = 0.2

Structure (POSCAR):
```
ScTe2Br
1.0
4.3514 0.0000 0.0000
0.0000 4.3514 0.0000
0.0000 0.0000 5.6711
Sc Te Br
1 2 1
Cartesian
0.0000 0.0000 0.0000
0.0000 2.1757 2.8355
2.1757 0.0000 2.8355
2.1757 2.1757 0.0000
```


model y wins, 0.267 eV/atom ahead of the next structure.


Model w:
Compound: ScTe2Br
Source: the Alexandria database
Functional: PBE
Structure: optimized geometry

Results
- ρ (g cm⁻³) = 4.3
- magnetic moment (μB/f.u.) = 0.0

Structure (POSCAR):
```
ScTe2Br
1.0
-2.7241 2.7241 9.8123
2.7241 -2.7241 9.8123
2.7241 2.7241 -9.8123
Sc Te Br
2 4 2
Cartesian
0.0000 0.0000 0.0000
0.0000 2.7241 4.9062
0.5586 1.3620 2.4531
-1.3620 2.1655 7.3592
-0.5586 4.0861 2.4531
1.3620 3.2827 7.3592
2.7241 0.0000 4.9062
0.0000 0.0000 9.8123
```


Model x:
Compound: ScTe2Br
Source: the Alexandria database
Functional: PBE
Structure: optimized geometry

Results
- ρ (g cm⁻³) = 5.5
- magnetic moment (μB/f.u.) = 0.0

Structure (POSCAR):
```
ScTe2Br
1.0
2.8357 -4.6947 0.0000
2.8357 4.6947 0.0000
-0.0197 0.0000 4.3148
Sc Te Br
1 2 1
Cartesian
0.0000 0.0000 0.0000
1.4080 2.3474 2.1574
1.4080 -2.3474 2.1574
2.8357 0.0000 0.0000
```


model w wins, 0.027 eV/atom ahead of the next structure.


Model w:
Compound: ScTe2Br
Source: the Alexandria database
Functional: PBE
Structure: optimized geometry

Results
- ρ (g cm⁻³) = 5.5
- magnetic moment (μB/f.u.) = 0.0

Structure (POSCAR):
```
ScTe2Br
1.0
5.5974 -1.8677 0.0000
5.5974 1.8677 0.0000
-1.2525 0.0000 5.4609
Sc Te Br
1 2 1
Cartesian
0.0000 0.0000 0.0000
2.3344 0.0000 4.4374
7.6080 0.0000 1.0234
4.9712 0.0000 2.7304
```


Model x:
Compound: ScTe2Br
Source: the Alexandria database
Functional: PBE
Structure: optimized geometry

Results
- ρ (g cm⁻³) = 5.8
- magnetic moment (μB/f.u.) = 0.0

Structure (POSCAR):
```
ScTe2Br
1.0
3.8536 0.0000 0.0000
0.0000 3.8536 0.0000
0.0000 0.0000 7.3811
Sc Te Br
1 2 1
Cartesian
0.0000 0.0000 0.0000
1.9268 1.9268 1.4346
1.9268 1.9268 5.9465
0.0000 0.0000 3.6905
```


Model y:
Compound: ScTe2Br
Source: the Alexandria database
Functional: PBE
Structure: optimized geometry

Results
- ρ (g cm⁻³) = 5.5
- magnetic moment (μB/f.u.) = 0.0

Structure (POSCAR):
```
ScTe2Br
1.0
3.6702 0.0000 0.0000
0.0000 3.6702 0.0000
0.0000 0.0000 8.5654
Sc Te Br
1 2 1
Cartesian
0.0000 0.0000 0.0000
0.0000 0.0000 3.3119
1.8351 1.8351 1.3786
1.8351 1.8351 6.7382
```


Model z:
Compound: ScTe2Br
Source: the Alexandria database
Functional: PBE
Structure: optimized geometry

Results
- ρ (g cm⁻³) = 4.2
- magnetic moment (μB/f.u.) = 0.0

Structure (POSCAR):
```
ScTe2Br
1.0
-1.9404 2.7033 7.1071
1.9404 -2.7033 7.1071
1.9404 2.7033 -7.1071
Sc Te Br
1 2 1
Cartesian
0.0000 0.0000 0.0000
1.9404 0.0000 2.1079
0.0000 0.0000 7.9696
0.0000 2.7033 5.2089
```


model z wins, 0.092 eV/atom ahead of the next structure.


Model w:
Compound: ScTe2Br
Source: the Alexandria database
Functional: PBE
Structure: optimized geometry

Results
- ρ (g cm⁻³) = 6.0
- magnetic moment (μB/f.u.) = 0.0

Structure (POSCAR):
```
ScTe2Br
1.0
0.0000 3.7396 3.7396
3.7396 0.0000 3.7396
3.7396 3.7396 0.0000
Sc Te Br
1 2 1
Cartesian
0.0000 0.0000 0.0000
1.8698 1.8698 1.8698
5.6093 5.6093 5.6093
3.7396 3.7396 3.7396
```


Model x:
Compound: ScTe2Br
Source: the Alexandria database
Functional: PBE
Structure: optimized geometry

Results
- ρ (g cm⁻³) = 6.1
- magnetic moment (μB/f.u.) = 0.0

Structure (POSCAR):
```
ScTe2Br
1.0
-2.2867 2.2867 4.9770
2.2867 -2.2867 4.9770
2.2867 2.2867 -4.9770
Sc Te Br
1 2 1
Cartesian
0.0000 0.0000 0.0000
2.2867 0.0000 2.4885
0.0000 2.2867 2.4885
0.0000 0.0000 4.9770
```


Model y:
Compound: ScTe2Br
Source: the Alexandria database
Functional: PBE
Structure: optimized geometry

Results
- ρ (g cm⁻³) = 5.9
- magnetic moment (μB/f.u.) = 0.0

Structure (POSCAR):
```
ScTe2Br
1.0
5.2095 0.0000 0.0000
0.0000 5.2095 0.0000
0.0000 0.0000 3.9319
Sc Te Br
1 2 1
Cartesian
0.0000 0.0000 0.0000
0.0000 2.6048 1.9660
2.6048 0.0000 1.9660
2.6048 2.6048 0.0000
```


Model z:
Compound: ScTe2Br
Source: the Alexandria database
Functional: PBE
Structure: optimized geometry

Results
- ρ (g cm⁻³) = 5.3
- magnetic moment (μB/f.u.) = 0.0

Structure (POSCAR):
```
ScTe2Br
1.0
2.0159 1.1639 8.5336
-2.0159 1.1639 8.5336
0.0000 -2.3277 8.5336
Sc Te Br
1 2 1
Cartesian
0.0000 0.0000 0.0000
0.0000 0.0000 6.8075
0.0000 0.0000 18.7934
0.0000 0.0000 12.8004
```


model z wins, 0.099 eV/atom ahead of the next structure.


Model w:
Compound: ScTe2Br
Source: the Alexandria database
Functional: PBE
Structure: optimized geometry

Results
- ρ (g cm⁻³) = 4.6
- magnetic moment (μB/f.u.) = 0.0

Structure (POSCAR):
```
ScTe2Br
1.0
5.3694 -1.9735 0.0000
5.3694 1.9735 0.0000
-1.4862 0.0000 6.4656
Sc Te Br
1 2 1
Cartesian
0.0000 0.0000 0.0000
5.5243 0.0000 2.1502
7.5454 0.0000 0.2358
2.9822 0.0000 4.7131
```


Model x:
Compound: ScTe2Br
Source: the Alexandria database
Functional: PBE
Structure: optimized geometry

Results
- ρ (g cm⁻³) = 4.3
- magnetic moment (μB/f.u.) = 0.0

Structure (POSCAR):
```
ScTe2Br
1.0
5.0669 0.0000 0.0000
0.0000 4.0337 0.0000
-2.2044 0.0000 7.1685
Sc Te Br
1 2 1
Cartesian
0.0000 0.0000 0.0000
0.0183 2.0169 2.0513
2.5424 0.0000 1.5724
2.7834 2.0169 5.3812
```


Model y:
Compound: ScTe2Br
Source: the Alexandria database
Functional: PBE
Structure: optimized geometry

Results
- ρ (g cm⁻³) = 5.6
- magnetic moment (μB/f.u.) = 0.0

Structure (POSCAR):
```
ScTe2Br
1.0
-1.8309 2.6331 5.8396
1.8309 -2.6331 5.8396
1.8309 2.6331 -5.8396
Sc Te Br
1 2 1
Cartesian
0.0000 0.0000 0.0000
1.8309 0.0000 2.3325
0.0000 2.6331 3.5071
0.0000 0.0000 5.8396
```


model w wins, 0.059 eV/atom ahead of the next structure.


Model w:
Compound: ScTeBr3
Source: the Alexandria database
Functional: PBE
Structure: optimized geometry

Results
- ρ (g cm⁻³) = 4.4
- magnetic moment (μB/f.u.) = 2.1

Structure (POSCAR):
```
ScTeBr3
1.0
5.3709 0.0000 0.0000
0.0000 5.3709 0.0000
0.0000 0.0000 5.3709
Sc Te Br
1 1 3
Cartesian
0.0000 0.0000 0.0000
2.6854 2.6854 2.6854
0.0000 0.0000 2.6854
0.0000 2.6854 0.0000
2.6854 0.0000 0.0000
```


Model x:
Compound: ScTeBr3
Source: the Alexandria database
Functional: PBE
Structure: optimized geometry

Results
- ρ (g cm⁻³) = 3.6
- magnetic moment (μB/f.u.) = 1.7

Structure (POSCAR):
```
ScTeBr3
1.0
5.7446 0.0000 0.0000
0.0000 5.7446 0.0000
0.0000 0.0000 5.7446
Sc Te Br
1 1 3
Cartesian
0.0000 0.0000 0.0000
2.8723 2.8723 2.8723
0.0000 2.8723 2.8723
2.8723 0.0000 2.8723
2.8723 2.8723 0.0000
```


model w wins, 0.940 eV/atom ahead of the next structure.


Model w:
Compound: ScTe3Br
Source: the Alexandria database
Functional: PBE
Structure: optimized geometry

Results
- ρ (g cm⁻³) = 5.1
- magnetic moment (μB/f.u.) = 0.0

Structure (POSCAR):
```
ScTe3Br
1.0
5.5017 0.0000 0.0000
0.0000 5.5017 0.0000
0.0000 0.0000 5.5017
Sc Te Br
1 3 1
Cartesian
0.0000 0.0000 0.0000
0.0000 0.0000 2.7508
0.0000 2.7508 0.0000
2.7508 0.0000 0.0000
2.7508 2.7508 2.7508
```


Model x:
Compound: ScTe3Br
Source: the Alexandria database
Functional: PBE
Structure: optimized geometry

Results
- ρ (g cm⁻³) = 5.1
- magnetic moment (μB/f.u.) = 0.0

Structure (POSCAR):
```
ScTe3Br
1.0
5.4897 0.0000 0.0000
0.0000 5.4897 0.0000
0.0000 0.0000 5.4897
Sc Te Br
1 3 1
Cartesian
0.0000 0.0000 0.0000
0.0000 2.7449 2.7449
2.7449 0.0000 2.7449
2.7449 2.7449 0.0000
2.7449 2.7449 2.7449
```


model w wins, 0.658 eV/atom ahead of the next structure.